# 1
TlInMo2 | GGA-PBE | optimized geometry

Structure (extended XYZ):
```
8
Lattice="-5.050 1.216 -5.585 -2.397 -7.216 0.596 -5.664 -2.196 -0.565" Properties=species:S:1:pos:R:3 pbc="T T T"
Tl -7.218 -1.990 -4.322
Tl 0.000 0.000 0.000
Mo -3.563 -4.903 -0.486
Mo -4.854 -0.695 -3.537
Mo -10.755 -6.871 -4.791
Mo -7.049 -3.922 -2.292
In -3.723 -3.000 -2.494
In -5.892 -6.206 -1.232
```

## Properties
formation enthalpy at 0 K	25.97	kcal/mol of atoms
energy	-44.524	eV for the cell shown
DOS(E_F)	1.178	states/eV per atom
energy above the lowest structure with this stoichiometry	799.7	meV/atom
SG	I-42d (122)

# 2
Si2SnBF | GGA-PBE | optimized geometry

Structure (extended XYZ):
```
5
Lattice="-4.191 2.379 -2.294 0.317 -2.624 -3.299 -3.280 -3.443 2.423" Properties=species:S:1:pos:R:3 pbc="T T T"
F -3.578 -1.844 -1.585
Si -2.096 1.189 -1.147
Si -1.640 -1.722 1.212
Sn 0.000 0.000 0.000
B 0.158 -1.312 -1.650
```

## Properties
energy	-16.804	eV for the cell shown
DOS(E_F)	0.848	states/eV per atom
ΔE_f (raw)	6.59	eV per formula unit
SG	P4/mmm (123)

# 3
CaS2F | GGA-PBE | optimized geometry

Structure (extended XYZ):
```
4
Lattice="0.390 -3.695 2.843 -3.612 -2.922 0.546 0.194 -4.318 -1.789" Properties=species:S:1:pos:R:3 pbc="T T T"
S -0.757 -2.734 0.400
S -2.272 -8.202 1.200
Ca -1.514 -5.468 0.800
F 0.000 0.000 0.000
```

## Properties
energy	-14.786	eV for the cell shown
DOS(E_F)	1.305	states/eV per atom
ΔE_f (raw)	-2.66	eV per formula unit
energy above the lowest structure with this stoichiometry	189.4	meV/atom
SG	Fm-3m (225)